1.
GGA-PBE LiTb2Al2, relaxed; uncorrected energy = -19.89 eV/cell; energy of formation from the pure elements = -246.9 meV per atom; total moment = 0.0 μB/f.u.
1.0
-1.8049 3.2307 4.9179
1.8049 -3.2307 4.9179
1.8049 3.2307 -4.9179
Li Tb Al
1 2 2
Direct
0.0000 0.0000 0.0000
0.2747 0.7747 0.5000
0.7253 0.2253 0.5000
0.2930 0.5000 0.7930
0.7070 0.5000 0.2070



2.
GGA-PBE Pr3Ho4Au4, relaxed; uncorrected energy = -52.18 eV/cell; energy of formation from the pure elements = -584.1 meV per atom; total moment = 0.0 μB/f.u.
1.0
-2.4368 3.9072 7.9105
2.4368 -3.9072 7.9105
2.4368 3.9072 -7.9105
Pr Ho Au
3 4 4
Direct
0.0000 0.0000 0.0000
0.3962 0.8962 0.5000
0.6038 0.1038 0.5000
0.0397 0.3269 0.7128
0.3860 0.6731 0.7128
0.6140 0.3269 0.2872
0.9603 0.6731 0.2872
0.2079 0.2079 0.0000
0.3093 0.5000 0.8093
0.6907 0.5000 0.1907
0.7921 0.7921 0.0000



3.
GGA-PBE PrHoO2, relaxed; uncorrected energy = -30.54 eV/cell; total moment = 0.0 μB/f.u.; ΔE to the lowest computed polymorph = 0.000 eV per atom; formation energy from raw total energies = -2816 meV per atom
1.0
1.7993 1.0388 6.7851
-1.7993 1.0388 6.7851
0.0000 -2.0777 6.7851
Pr Ho O
1 1 2
Direct
0.0000 0.0000 0.0000
0.5000 0.5000 0.5000
0.1153 0.1153 0.1153
0.8847 0.8847 0.8847